1.
Ce2DyAu | Alexandria | PBE | relaxed; magnetic moment = 0.99 μB per formula unit; space group = P4/mmm (123); D(E_F) = 9.41 states/eV/cell
1.0
-5.4993 0.4822 1.0249
-0.8482 -1.9810 -3.6191
0.0508 -3.6995 2.0131
Au Ce Dy
1 2 1
direct
0.5000 0.0000 0.0000 Au
0.0000 0.5000 0.0000 Ce
0.0000 0.0000 0.5000 Ce
0.5000 0.5000 0.5000 Dy

2.
Ce2DyAu | Alexandria | PBE | relaxed; magnetic moment = 2.08 μB per formula unit; space group = Fm-3m (225); D(E_F) = 12.03 states/eV/cell
1.0
-2.6419 -2.9575 3.5380
1.6633 -4.9218 1.1193
2.1764 -1.0574 4.7327
Au Ce Dy
1 2 1
direct
0.5000 0.5000 0.5000 Au
0.2500 0.2500 0.2500 Ce
0.7500 0.7500 0.7500 Ce
0.0000 0.0000 0.0000 Dy

3.
Ce2DyAu | Alexandria | PBE | relaxed; magnetic moment = 2.07 μB per formula unit; space group = P4/mmm (123); D(E_F) = 11.85 states/eV/cell
1.0
-1.9969 -2.2186 2.2848
2.8329 -0.0055 2.4707
-3.1136 6.4942 3.5847
Ce Au Dy
2 1 1
direct
0.0000 0.0000 0.2094 Ce
0.0000 0.0000 0.7906 Ce
0.5000 0.5000 0.0000 Au
0.5000 0.5000 0.5000 Dy

List of relative energies, unit kJ/mol of atoms: 1 0.0; 2 18.9; 3 4.9

1.
CeDyZnAu | Alexandria | PBE | relaxed; magnetic moment = 0.83 μB per formula unit; space group = F-43m (216); D(E_F) = 8.29 states/eV/cell
1.0
5.1421 0.0000 0.0000
2.5711 4.4532 0.0000
2.5711 1.4844 4.1985
Ce Dy Zn Au
1 1 1 1
direct
0.7500 0.7500 0.7500 Ce
0.2500 0.2500 0.2500 Dy
0.0000 0.0000 0.0000 Zn
0.5000 0.5000 0.5000 Au

2.
CeDyZnAu | Alexandria | PBE | relaxed; magnetic moment = 1.08 μB per formula unit; space group = P4mm (99); D(E_F) = 8.12 states/eV/cell
1.0
3.6017 0.0000 0.0000
0.0000 3.6017 0.0000
0.0000 0.0000 7.3435
Ce Dy Au Zn
1 1 1 1
direct
0.5000 0.5000 0.1127 Ce
0.5000 0.5000 0.6082 Dy
0.0000 0.0000 0.8364 Au
0.0000 0.0000 0.3706 Zn

List of relative energies, unit kJ/mol of atoms: 1 2.8; 2 0.0

1.
Ce2ErAu | Alexandria | PBE | relaxed; magnetic moment = 0.75 μB per formula unit; space group = P4/mmm (123); D(E_F) = 9.23 states/eV/cell
1.0
-0.5092 -5.3958 1.4601
4.1088 -0.5390 -0.5590
0.6776 1.0181 3.9987
Au Ce Er
1 2 1
direct
0.5000 0.0000 0.0000 Au
0.0000 0.0000 0.5000 Ce
0.0000 0.5000 0.0000 Ce
0.5000 0.5000 0.5000 Er

2.
Ce2ErAu | Alexandria | PBE | relaxed; magnetic moment = 2.09 μB per formula unit; space group = P4/mmm (123); D(E_F) = 11.91 states/eV/cell
1.0
3.8117 0.0000 0.0000
0.0000 3.8117 0.0000
0.0000 0.0000 7.7421
Au Er Ce
1 1 2
direct
0.5000 0.5000 0.0000 Au
0.5000 0.5000 0.5000 Er
0.0000 0.0000 0.2086 Ce
0.0000 0.0000 0.7914 Ce

3.
Ce2ErAu | Alexandria | PBE | relaxed; magnetic moment = 2.14 μB per formula unit; space group = Fm-3m (225); D(E_F) = 12.45 states/eV/cell
1.0
5.3151 0.0000 0.0000
2.6575 4.6030 0.0000
2.6575 1.5343 4.3371
Er Ce Au
1 2 1
direct
0.0000 0.0000 0.0000 Er
0.2499 0.2499 0.2502 Ce
0.7501 0.7501 0.7498 Ce
0.5000 0.5000 0.5000 Au

List of relative energies, unit kJ/mol of atoms: 1 0.0; 2 6.6; 3 20.4

1.
CeErPtAu | Alexandria | PBE | relaxed; magnetic moment = 0.64 μB per formula unit; space group = Amm2 (38); D(E_F) = 6.61 states/eV/cell
1.0
-3.0583 -2.2030 -0.0082
2.7452 -3.8109 0.0017
1.5185 1.0963 5.3405
Ce Er Au Pt
1 1 1 1
direct
0.1389 0.0000 0.2779 Ce
0.8637 0.5000 0.7274 Er
0.5883 0.5000 0.1767 Au
0.4090 0.0000 0.8181 Pt

2.
CeErPtAu | Alexandria | PBE | relaxed; magnetic moment = 0.79 μB per formula unit; space group = F-43m (216); D(E_F) = 6.71 states/eV/cell
1.0
-1.3016 1.6929 4.5910
3.0086 -0.8914 3.9738
2.5837 3.8022 2.1226
Er Ce Pt Au
1 1 1 1
direct
0.5000 0.5000 0.5000 Er
0.0000 0.0000 0.0000 Ce
0.2500 0.2500 0.2500 Pt
0.7500 0.7500 0.7500 Au

List of relative energies, unit kJ/mol of atoms: 1 0.0; 2 6.3